[1]
Pr3Y2Mg2 PBE-GGA optimized geometry; energy of formation = 0.0415 eV/atom; calculated total energy = -4.309 eV per atom; V = 224.59 Å³ per cell; spin magnetization = 0.3 μB/f.u.
1.0
2.689 -11.848 0.000
2.689 11.848 0.000
0.000 0.000 3.524
Pr Y Mg
3 2 2
Direct
0.000 0.000 0.000
0.149 0.851 0.000
0.851 0.149 0.000
0.288 0.712 0.500
0.712 0.288 0.500
0.431 0.569 0.500
0.569 0.431 0.500

=====

[2]
ZnCuIrPt PBE-GGA optimized geometry; energy of formation = -0.1010 eV/atom; calculated total energy = -5.169 eV per atom; V = 55.63 Å³ per cell; spin magnetization = 0.0 μB/f.u.
1.0
0.000 3.030 3.030
3.030 0.000 3.030
3.030 3.030 0.000
Zn Cu Ir Pt
1 1 1 1
Direct
0.000 0.000 0.000
0.500 0.500 0.500
0.750 0.750 0.750
0.250 0.250 0.250

=====

[3]
Zn2In4Co PBE-GGA optimized geometry; energy of formation = 0.2070 eV/atom; calculated total energy = -2.737 eV per atom; V = 168.99 Å³ per cell; spin magnetization = 0.0 μB/f.u.
1.0
-2.555 2.555 6.473
2.555 -2.555 6.473
2.555 2.555 -6.473
Zn In Co
2 4 1
Direct
0.106 0.106 0.000
0.894 0.894 0.000
0.000 0.500 0.500
0.310 0.310 0.000
0.500 0.000 0.500
0.690 0.690 0.000
0.500 0.500 0.000

=====

[4]
Na3ZrIn PBE-GGA optimized geometry; energy of formation = 0.9275 eV/atom; relative energy among the computed polymorphs = 0 meV/atom; calculated total energy = -2.121 eV per atom; V = 179.68 Å³ per cell; spin magnetization = 2.8 μB/f.u.
1.0
5.643 0.000 0.000
0.000 5.643 0.000
0.000 0.000 5.643
Na Zr In
3 1 1
Direct
0.000 0.000 0.500
0.000 0.500 0.000
0.500 0.000 0.000
0.500 0.500 0.500
0.000 0.000 0.000

=====

[5]
LiMg6Cu2 PBE-GGA optimized geometry; energy of formation = -0.0730 eV/atom; calculated total energy = -2.259 eV per atom; V = 351.17 Å³ per cell; spin magnetization = 0.0 μB/f.u.
1.0
-4.238 4.311 4.805
4.238 -4.311 4.805
4.238 4.311 -4.805
Li Mg Cu
2 12 4
Direct
0.000 0.000 0.000
0.500 0.500 0.000
0.130 0.830 0.299
0.216 0.311 0.527
0.216 0.689 0.905
0.253 0.053 0.800
0.253 0.453 0.200
0.469 0.170 0.299
0.531 0.830 0.701
0.747 0.547 0.800
0.747 0.947 0.200
0.784 0.311 0.095
0.784 0.689 0.473
0.870 0.170 0.701
0.125 0.625 0.500
0.500 0.162 0.662
0.500 0.838 0.338
0.875 0.375 0.500

=====

[6]
PmMg10Hg2 PBE-GGA optimized geometry; energy of formation = -0.1164 eV/atom; calculated total energy = -1.755 eV per atom; V = 304.17 Å³ per cell; spin magnetization = 0.0 μB/f.u.
1.0
0.000 7.077 7.116
3.020 0.000 7.116
3.020 7.077 0.000
Pm Mg Hg
1 10 2
Direct
0.000 0.000 0.000
0.000 0.500 0.000
0.006 0.651 0.349
0.286 0.504 0.496
0.349 0.994 0.006
0.496 0.714 0.286
0.500 0.000 0.500
0.504 0.286 0.714
0.651 0.006 0.994
0.714 0.496 0.504
0.994 0.349 0.651
0.000 0.000 0.500
0.500 0.500 0.000

=====

[7]
YTcHg2 PBE-GGA optimized geometry; energy of formation = 0.1463 eV/atom; relative energy among the computed polymorphs = 85 meV/atom; calculated total energy = -4.212 eV per atom; V = 84.06 Å³ per cell; spin magnetization = 1.0 μB/f.u.
1.0
-2.147 2.147 4.560
2.147 -2.147 4.560
2.147 2.147 -4.560
Y Tc Hg
1 1 2
Direct
0.000 0.000 0.000
0.750 0.250 0.500
0.250 0.750 0.500
0.500 0.500 0.000

=====

[8]
Ba2In3Ga4Sn PBE-GGA optimized geometry; energy of formation = -0.3757 eV/atom; calculated total energy = -3.193 eV per atom; V = 273.83 Å³ per cell; spin magnetization = 0.0 μB/f.u.
1.0
4.901 0.000 0.000
0.000 4.901 0.000
0.000 0.000 11.402
Ba In Ga Sn
2 3 4 1
Direct
0.000 0.500 0.242
0.500 0.000 0.758
0.000 0.500 0.875
0.500 0.000 0.125
0.500 0.500 0.500
0.000 0.000 0.000
0.000 0.500 0.635
0.500 0.000 0.365
0.500 0.500 0.000
0.000 0.000 0.500